# CuOsBr2 PBE relaxed
data_CuOsBr2
_chemical_formula_sum 'Cu1 Os1 Br2'
_space_group_name_H-M_alt 'P m m m'
_space_group_IT_number 47
_space_group_name_Hall '-P 2 2'
_cell_length_a 3.1239
_cell_length_b 4.1060
_cell_length_c 6.4884
_cell_angle_alpha 90.00
_cell_angle_beta 90.00
_cell_angle_gamma 90.00
loop_
_atom_site_label
_atom_site_type_symbol
_atom_site_fract_x
_atom_site_fract_y
_atom_site_fract_z
_atom_site_occupancy
Cu1 Cu 0.0000 0.0000 0.0000 1
Os1 Os 0.5000 0.0000 0.5000 1
Br1 Br 0.0000 0.5000 0.5000 1
Br2 Br 0.5000 0.5000 0.0000 1
# **Calculated density**: 8.3 Mg/m³
# **Formation energy without anion corrections**: 1.084 eV per atom
# **Spin magnetization**: 1.49 Bohr magnetons per cell
# **N(E_F)**: 3.20 states/eV/cell